Material: Ba2GeAu5
Method: DFT, PBE-GGA
State: optimized geometry

Results
**DFT formation energy**: -537 meV per atom
**Calculated total energy**: -3.64 eV per atom

abc: 6.6098 7.0590 9.7606
angles: 90.00 90.00 90.00
Space group Imm2 (No. 44)
Inequivalent atoms, fractional coordinates:
Ba  0.0000  0.0000  0.0000 [2 per cell]
Ba  0.0000  0.0000  0.4430 [2 per cell]
Ge  0.0000  0.5000  0.1160 [2 per cell]
Au  0.0000  0.5000  0.8492 [2 per cell]
Au  0.2229  0.2162  0.7212 [8 per cell]

Material: Ba3Ge2Au2
Method: DFT, PBE-GGA
State: optimized geometry

Results
**DFT formation energy**: -599 meV per atom
**Calculated total energy**: -3.68 eV per atom

abc: 4.6283 4.7325 20.8201
angles: 90.00 90.00 90.00
Space group Immm (No. 71)
Inequivalent atoms, fractional coordinates:
Ba  0.0000  0.0000  0.0000 [2 per cell]
Ba  0.0000  0.5000  0.1803 [4 per cell]
Ge  0.0000  0.0000  0.4419 [4 per cell]
Au  0.0000  0.5000  0.3600 [4 per cell]

Material: Ba2Ge5Au3
Method: DFT, PBE-GGA
State: optimized geometry

Results
**DFT formation energy**: -476 meV per atom
**Calculated total energy**: -4.15 eV per atom

abc: 10.6570 13.2915 6.6472
angles: 90.00 90.00 90.00
Space group Ibam (No. 72)
Inequivalent atoms, fractional coordinates:
Ba  0.2465  0.1233  0.0000 [8 per cell]
Ge  0.0000  0.0000  0.2500 [4 per cell]
Ge  0.0000  0.2544  0.2500 [8 per cell]
Ge  0.1280  0.3766  0.0000 [8 per cell]
Au  0.0000  0.5000  0.2500 [4 per cell]
Au  0.1227  0.1284  0.5000 [8 per cell]